# 1
Crystalline MgScGaSn at its relaxed geometry. Source: Alexandria via LeMat-Bulk, functional PBE.

a b c (Å): 4.2100 4.4174 4.4315
angles (deg): 90.00 90.00 90.00
With the nearest neighbours (Å) after each atom.
Space group Pmmm (No. 47)
Symmetry-distinct sites (fractional):
Mg (0.0000, 0.0000, 0.0000) x1  4 Sn 3.05, 4 Ga 3.06, 4 Sc 3.13
Sc (0.0000, 0.5000, 0.5000) x1  4 Ga 3.05, 4 Sn 3.06, 4 Mg 3.13
Ga (0.5000, 0.0000, 0.5000) x1  4 Sc 3.05, 4 Mg 3.06, 4 Sn 3.13
Sn (0.5000, 0.5000, 0.0000) x1  4 Mg 3.05, 4 Sc 3.06, 4 Ga 3.13

## Properties
DFT total energy ... -16.6 eV/cell
ΔH_f (0 K) ... -162.3 kJ/mol of formula units
E above lowest polymorph ... 0.0 kJ per mole of atoms

---

# 2
Crystalline TbMgScGa at its relaxed geometry. Source: Alexandria via LeMat-Bulk, functional PBE.

a b c (Å): 7.1092 7.1092 7.1092
angles (deg): 90.00 90.00 90.00
With the nearest neighbours (Å) after each atom.
Space group F-43m (No. 216)
Symmetry-distinct sites (fractional):
Tb (0.0000, 0.0000, 0.0000) x4  4 Mg 3.08, 4 Ga 3.08
Mg (0.2500, 0.2500, 0.2500) x4  4 Tb 3.08, 4 Sc 3.08
Sc (0.0000, 0.0000, 0.5000) x4  4 Ga 3.08, 4 Mg 3.08
Ga (0.2500, 0.2500, 0.7500) x4  4 Tb 3.08, 4 Sc 3.08

## Properties
DFT total energy ... -67.7 eV/cell
ΔH_f (0 K) ... -130.4 kJ/mol of formula units

---

# 3
Crystalline ThMgScGa at its relaxed geometry. Source: Alexandria via LeMat-Bulk, functional PBE.

a b c (Å): 7.2398 7.2398 7.2398
angles (deg): 90.00 90.00 90.00
With the nearest neighbours (Å) after each atom.
Space group F-43m (No. 216)
Symmetry-distinct sites (fractional):
Th (0.0000, 0.0000, 0.0000) x4  4 Mg 3.13, 4 Ga 3.13
Mg (0.2500, 0.2500, 0.2500) x4  4 Th 3.13, 4 Sc 3.13
Sc (0.0000, 0.0000, 0.5000) x4  4 Ga 3.13, 4 Mg 3.13
Ga (0.2500, 0.2500, 0.7500) x4  4 Th 3.13, 4 Sc 3.13

## Properties
DFT total energy ... -76.9 eV/cell
ΔH_f (0 K) ... -83.0 kJ/mol of formula units

---

What is the formula in the first record?
MgScGaSn

---

Look up the ΔH_f (0 K) of the second one.
-130.4 kJ/mol of formula units